Density functional theory data (PBE) for a relaxed structure of Re2OsBr.

Results
SG: Immm
size of the total moment: 0.000 μB/f.u.
E_tot: -8.290 eV/atom
relative energy among the computed polymorphs: 454 meV/atom
raw formation energy: 1.160 eV per atom

Cell lengths 5.3482, 5.3482, 5.3482 Å; angles 148.14, 129.76, 60.73 degrees
With the nearest neighbours (Å) after each atom.
Fractional positions:
Re1 0.0148 0.0148 0.0000  2 Br 2.62, 4 Re 2.72, 2 Os 2.85
Re2 0.4852 0.4852 0.0000  2 Br 2.62, 4 Re 2.72, 2 Os 2.85
Os1 0.7500 0.2500 0.5000  4 Br 2.70, 4 Re 2.85, 2 Os 2.94
Br1 0.2500 0.7500 0.5000  4 Re 2.62, 4 Os 2.70


Density functional theory data (PBE) for a relaxed structure of K3Tb2PmO6.

Results
SG: C2/m
size of the total moment: 0.000 μB/f.u.
E_tot: -6.634 eV/atom
raw formation energy: -2.713 eV per atom

Cell lengths 6.1337, 6.1337, 6.6041 Å; angles 98.90, 98.90, 120.00 degrees
With the nearest neighbours (Å) after each atom.
Fractional positions:
K1 0.1676 0.8324 0.5000  6 O 2.80-2.86
K2 0.8324 0.1676 0.5000  6 O 2.80-2.86
K3 0.5000 0.5000 0.5000  6 O 2.80-2.85
Tb1 0.3333 0.6667 0.0000  6 O 2.34
Tb2 0.6667 0.3333 0.0000  6 O 2.34
Pm1 0.0000 0.0000 0.0000  6 O 2.39
O1 0.9377 0.5977 0.8129  2 Tb 2.34, 1 Pm 2.39
O2 0.7224 0.7224 0.1874  2 Tb 2.34, 1 Pm 2.39
O3 0.0623 0.4023 0.1871  2 Tb 2.34, 1 Pm 2.39
O4 0.5977 0.9377 0.8129  2 Tb 2.34, 1 Pm 2.39
O5 0.2776 0.2776 0.8126  2 Tb 2.34, 1 Pm 2.39
O6 0.4023 0.0623 0.1871  2 Tb 2.34, 1 Pm 2.39


Density functional theory data (PBE) for a relaxed structure of ZrNbNi2Pd.

Results
SG: P4/mmm
size of the total moment: 0.000 μB/f.u.
E_tot: -5.981 eV/atom
energy relative to the elements: 1.094 eV per atom

Cell lengths 4.4864, 5.0644, 4.4864 Å; angles 90.00, 90.00, 90.00 degrees
With the nearest neighbours (Å) after each atom.
Fractional positions:
Ni1 0.0000 0.0000 0.5000  2 Nb 2.24
Ni2 0.5000 0.0000 0.0000  2 Nb 2.24
Nb1 0.0000 0.0000 0.0000  4 Ni 2.24
Zr1 0.0000 0.5000 0.0000  2 Nb 2.53
Pd1 0.5000 0.5000 0.5000  4 Zr 3.17, 8 Ni 3.38


Density functional theory data (PBE) for a relaxed structure of ThTi2Fe9.

Results
SG: R-3m
size of the total moment: 15.696 μB/f.u.
E_tot: -8.450 eV/atom
energy relative to the elements: -0.169 eV per atom

Cell lengths 4.9057, 4.9057, 8.4400 Å; angles 73.10, 73.10, 60.00 degrees
With the nearest neighbours (Å) after each atom.
Fractional positions:
Th1 0.0000 0.0000 0.0000  6 Fe 2.83
Ti1 0.8543 0.8543 0.4370  12 Fe 2.76-2.88, 3 Ti 3.00
Ti2 0.1457 0.1457 0.5630  12 Fe 2.76-2.88, 3 Ti 3.00
Fe1 0.6669 0.6669 0.9994  6 Fe 2.52-2.54
Fe2 0.3331 0.3331 0.0006  6 Fe 2.52-2.54
Fe3 0.5000 0.5000 0.5000  6 Fe 2.36
Fe4 0.4101 0.4101 0.2635  7 Fe 2.36-2.54
Fe5 0.9162 0.4101 0.2635  7 Fe 2.36-2.54
Fe6 0.4101 0.9162 0.2635  7 Fe 2.36-2.54
Fe7 0.5899 0.5899 0.7365  7 Fe 2.36-2.54
Fe8 0.5899 0.0838 0.7365  7 Fe 2.36-2.54
Fe9 0.0838 0.5899 0.7365  7 Fe 2.36-2.54